{
  "formula": "CeNpCoS4",
  "functional": "PBE-GGA",
  "state": "relaxed",
  "magmom_total_mub_per_cell": 5.9,
  "dft_energy_ev_per_atom": -7.40,
  "e_form_raw_mev_per_atom": -1334,
  "lattice": [[-3.126, 5.184, -2.018], [-0.977, -2.551, -5.040], [-5.178, -4.593, 3.329]],
  "species": ["S", "S", "S", "S", "S", "S", "S", "S", "Co", "Co", "Np", "Np", "Ce", "Ce"],
  "fractional_positions": [[0.577, 0.250, 0.402], [0.982, 0.490, 0.249], [0.423, 0.750, 0.598], [0.982, 0.010, 0.249], [0.430, 0.750, 0.120], [0.018, 0.990, 0.751], [0.018, 0.510, 0.751], [0.570, 0.250, 0.880], [0.236, 0.750, 0.314], [0.764, 0.250, 0.686], [0.757, 0.750, 0.442], [0.243, 0.250, 0.558], [0.262, 0.250, 0.068], [0.738, 0.750, 0.932]]
}


{
  "formula": "Ce2NpCoS5",
  "functional": "PBE-GGA",
  "state": "relaxed",
  "magmom_total_mub_per_cell": 7.8,
  "dft_energy_ev_per_atom": -7.39,
  "e_form_raw_mev_per_atom": -1546,
  "lattice": [[-3.189, -1.989, -0.698], [2.159, -2.493, 7.706], [-6.479, 8.758, 4.648]],
  "species": ["S", "S", "S", "S", "S", "S", "S", "S", "S", "S", "Co", "Co", "Ce", "Ce", "Ce", "Ce", "Np", "Np"],
  "fractional_positions": [[0.305, 0.610, 0.690], [0.496, 0.991, 0.749], [0.695, 0.390, 0.190], [0.344, 0.689, 0.022], [0.984, 0.968, 0.507], [0.504, 0.009, 0.249], [0.684, 0.367, 0.864], [0.656, 0.311, 0.522], [0.316, 0.633, 0.364], [0.016, 0.032, 0.007], [0.552, 0.104, 0.918], [0.448, 0.896, 0.418], [0.881, 0.762, 0.198], [0.113, 0.226, 0.349], [0.887, 0.774, 0.849], [0.119, 0.238, 0.698], [0.822, 0.644, 0.527], [0.178, 0.356, 0.027]]
}